(1)
Material: Ce2PrCd
Method: DFT, PBE
State: optimized geometry

Output
- Calculated formation energy: -0.013 eV per atom
- Space-group type: P4/mmm, No. 123
- VASP energy: -17.61 eV per cell

Structure (CIF):
```
data_Ce2PrCd
_chemical_formula_sum 'Ce2 Pr1 Cd1'
_symmetry_space_group_name_H-M 'P 1'
_symmetry_Int_Tables_number 1
_symmetry_space_group_name_Hall 'P 1'
_cell_length_a 5.1211
_cell_length_b 4.7601
_cell_length_c 4.7601
_cell_angle_alpha 90.00
_cell_angle_beta 90.00
_cell_angle_gamma 90.00
loop_
_atom_site_label
_atom_site_type_symbol
_atom_site_fract_x
_atom_site_fract_y
_atom_site_fract_z
Pr1 Pr 0.5000 0.5000 0.5000
Ce1 Ce 0.0000 0.0000 0.5000
Ce2 Ce 0.0000 0.5000 0.0000
Cd1 Cd 0.5000 0.0000 0.0000
```

(2)
Material: CePr2Cd4
Method: DFT, PBE
State: optimized geometry

Output
- Calculated formation energy: -0.097 eV per atom
- Space-group type: I4/mmm, No. 139
- VASP energy: -19.83 eV per cell

Structure (CIF):
```
data_CePr2Cd4
_chemical_formula_sum 'Ce1 Pr2 Cd4'
_symmetry_space_group_name_H-M 'P 1'
_symmetry_Int_Tables_number 1
_symmetry_space_group_name_Hall 'P 1'
_cell_length_a 5.5231
_cell_length_b 5.5231
_cell_length_c 8.0297
_cell_angle_alpha 110.12
_cell_angle_beta 110.12
_cell_angle_gamma 90.00
loop_
_atom_site_label
_atom_site_type_symbol
_atom_site_fract_x
_atom_site_fract_y
_atom_site_fract_z
Pr1 Pr 0.7342 0.7342 0.4683
Pr2 Pr 0.2658 0.2658 0.5317
Ce1 Ce 0.0000 0.0000 0.0000
Cd1 Cd 0.3882 0.8882 0.7763
Cd2 Cd 0.8882 0.3882 0.7763
Cd3 Cd 0.6118 0.1118 0.2237
Cd4 Cd 0.1118 0.6118 0.2237
```

(3)
Material: CePrCd
Method: DFT, PBE
State: optimized geometry

Output
- Calculated formation energy: -0.026 eV per atom
- Space-group type: P3m1, No. 156
- VASP energy: -11.71 eV per cell

Structure (CIF):
```
data_CePrCd
_chemical_formula_sum 'Ce1 Pr1 Cd1'
_symmetry_space_group_name_H-M 'P 1'
_symmetry_Int_Tables_number 1
_symmetry_space_group_name_Hall 'P 1'
_cell_length_a 3.4740
_cell_length_b 5.3281
_cell_length_c 5.3281
_cell_angle_alpha 120.00
_cell_angle_beta 90.00
_cell_angle_gamma 90.00
loop_
_atom_site_label
_atom_site_type_symbol
_atom_site_fract_x
_atom_site_fract_y
_atom_site_fract_z
Pr1 Pr 0.6516 0.6667 0.3333
Ce1 Ce 0.0080 0.0000 0.0000
Cd1 Cd 0.3404 0.3333 0.6667
```

(4)
Material: Ce2PrCd6
Method: DFT, PBE
State: optimized geometry

Output
- Calculated formation energy: -0.284 eV per atom
- Space-group type: P6/mmm, No. 191
- VASP energy: -24.70 eV per cell

Structure (CIF):
```
data_Ce2PrCd6
_chemical_formula_sum 'Ce2 Pr1 Cd6'
_symmetry_space_group_name_H-M 'P 1'
_symmetry_Int_Tables_number 1
_symmetry_space_group_name_Hall 'P 1'
_cell_length_a 3.3420
_cell_length_b 8.8748
_cell_length_c 8.8748
_cell_angle_alpha 120.00
_cell_angle_beta 90.00
_cell_angle_gamma 90.00
loop_
_atom_site_label
_atom_site_type_symbol
_atom_site_fract_x
_atom_site_fract_y
_atom_site_fract_z
Ce1 Ce 0.0000 0.3333 0.6667
Ce2 Ce 0.0000 0.6667 0.3333
Pr1 Pr 0.0000 0.0000 0.0000
Cd1 Cd 0.5000 0.3341 0.3341
Cd2 Cd 0.5000 0.6659 0.6659
Cd3 Cd 0.5000 0.0000 0.6659
Cd4 Cd 0.5000 0.6659 0.0000
Cd5 Cd 0.5000 0.3341 0.0000
Cd6 Cd 0.5000 0.0000 0.3341
```

(5)
Material: CePrCd
Method: DFT, PBE
State: optimized geometry

Output
- Calculated formation energy: -0.126 eV per atom
- Space-group type: Cmcm, No. 63
- VASP energy: -24.01 eV per cell

Structure (CIF):
```
data_CePrCd
_chemical_formula_sum 'Ce2 Pr2 Cd2'
_symmetry_space_group_name_H-M 'P 1'
_symmetry_Int_Tables_number 1
_symmetry_space_group_name_Hall 'P 1'
_cell_length_a 3.5688
_cell_length_b 5.5240
_cell_length_c 8.9359
_cell_angle_alpha 90.00
_cell_angle_beta 101.52
_cell_angle_gamma 90.00
loop_
_atom_site_label
_atom_site_type_symbol
_atom_site_fract_x
_atom_site_fract_y
_atom_site_fract_z
Cd1 Cd 0.4007 0.2500 0.8014
Cd2 Cd 0.5993 0.7500 0.1986
Pr1 Pr 0.9294 0.7500 0.8588
Pr2 Pr 0.0706 0.2500 0.1412
Ce1 Ce 0.7455 0.2500 0.4910
Ce2 Ce 0.2545 0.7500 0.5090
```

(6)
Material: CePrCd3
Method: DFT, PBE
State: optimized geometry

Output
- Calculated formation energy: -0.260 eV per atom
- Space-group type: Cmcm, No. 63
- VASP energy: -29.52 eV per cell

Structure (CIF):
```
data_CePrCd3
_chemical_formula_sum 'Ce2 Pr2 Cd6'
_symmetry_space_group_name_H-M 'P 1'
_symmetry_Int_Tables_number 1
_symmetry_space_group_name_Hall 'P 1'
_cell_length_a 3.4148
_cell_length_b 5.0658
_cell_length_c 15.3699
_cell_angle_alpha 90.00
_cell_angle_beta 96.38
_cell_angle_gamma 90.00
loop_
_atom_site_label
_atom_site_type_symbol
_atom_site_fract_x
_atom_site_fract_y
_atom_site_fract_z
Ce1 Ce 0.2174 0.7500 0.4348
Ce2 Ce 0.7826 0.2500 0.5652
Pr1 Pr 0.9268 0.7500 0.8536
Pr2 Pr 0.0732 0.2500 0.1464
Cd1 Cd 0.6216 0.7500 0.2432
Cd2 Cd 0.3784 0.2500 0.7568
Cd3 Cd 0.5242 0.7500 0.0483
Cd4 Cd 0.4758 0.2500 0.9517
Cd5 Cd 0.6727 0.2500 0.3454
Cd6 Cd 0.3273 0.7500 0.6546
```

(7)
Material: CePr6Cd5
Method: DFT, PBE
State: optimized geometry

Output
- Calculated formation energy: -0.211 eV per atom
- Space-group type: Immm, No. 71
- VASP energy: -41.71 eV per cell

Structure (CIF):
```
data_CePr6Cd5
_chemical_formula_sum 'Ce1 Pr6 Cd5'
_symmetry_space_group_name_H-M 'P 1'
_symmetry_Int_Tables_number 1
_symmetry_space_group_name_Hall 'P 1'
_cell_length_a 5.4876
_cell_length_b 7.9053
_cell_length_c 9.5472
_cell_angle_alpha 114.46
_cell_angle_beta 106.70
_cell_angle_gamma 90.00
loop_
_atom_site_label
_atom_site_type_symbol
_atom_site_fract_x
_atom_site_fract_y
_atom_site_fract_z
Pr1 Pr 0.8295 0.5733 0.6591
Pr2 Pr 0.8295 0.0858 0.6591
Pr3 Pr 0.5000 0.7319 0.0000
Pr4 Pr 0.5000 0.2681 0.0000
Pr5 Pr 0.1705 0.9142 0.3409
Pr6 Pr 0.1705 0.4267 0.3409
Ce1 Ce 0.0000 0.0000 0.0000
Cd1 Cd 0.6567 0.1567 0.3134
Cd2 Cd 0.3310 0.3310 0.6620
Cd3 Cd 0.0000 0.5000 0.0000
Cd4 Cd 0.6690 0.6690 0.3380
Cd5 Cd 0.3433 0.8433 0.6866
```

(8)
Material: CePr6Cd
Method: DFT, PBE
State: optimized geometry

Output
- Calculated formation energy: 0.027 eV per atom
- Space-group type: I4/mmm, No. 139
- VASP energy: -35.31 eV per cell

Structure (CIF):
```
data_CePr6Cd
_chemical_formula_sum 'Ce1 Pr6 Cd1'
_symmetry_space_group_name_H-M 'P 1'
_symmetry_Int_Tables_number 1
_symmetry_space_group_name_Hall 'P 1'
_cell_length_a 5.8603
_cell_length_b 5.8603
_cell_length_c 8.6980
_cell_angle_alpha 70.32
_cell_angle_beta 70.32
_cell_angle_gamma 90.02
loop_
_atom_site_label
_atom_site_type_symbol
_atom_site_fract_x
_atom_site_fract_y
_atom_site_fract_z
Ce1 Ce 0.5000 0.5000 0.0000
Pr1 Pr 0.7429 0.7428 0.5143
Pr2 Pr 0.6115 0.1115 0.7769
Pr3 Pr 0.1116 0.6116 0.7769
Pr4 Pr 0.3885 0.8885 0.2231
Pr5 Pr 0.2571 0.2572 0.4857
Pr6 Pr 0.8884 0.3884 0.2231
Cd1 Cd 0.0000 0.0000 0.0000
```

(9)
Material: CePrCdPt
Method: DFT, PBE
State: optimized geometry

Output
- Calculated formation energy: -0.527 eV per atom
- Space-group type: F-43m, No. 216
- VASP energy: -19.78 eV per cell

Structure (CIF):
```
data_CePrCdPt
_chemical_formula_sum 'Ce1 Pr1 Cd1 Pt1'
_symmetry_space_group_name_H-M 'P 1'
_symmetry_Int_Tables_number 1
_symmetry_space_group_name_Hall 'P 1'
_cell_length_a 5.2580
_cell_length_b 5.2580
_cell_length_c 5.2580
_cell_angle_alpha 60.00
_cell_angle_beta 60.00
_cell_angle_gamma 60.00
loop_
_atom_site_label
_atom_site_type_symbol
_atom_site_fract_x
_atom_site_fract_y
_atom_site_fract_z
Pr1 Pr 0.5000 0.5000 0.5000
Ce1 Ce 0.0000 0.0000 0.0000
Pt1 Pt 0.7500 0.7500 0.7500
Cd1 Cd 0.2500 0.2500 0.2500
```

(10)
Material: CePrCdSb
Method: DFT, PBE
State: optimized geometry

Output
- Space-group type: F-43m, No. 216
- Formation energy without anion corrections: -0.53 eV/atom
- VASP energy: -17.88 eV per cell

Structure (CIF):
```
data_CePrCdSb
_chemical_formula_sum 'Ce1 Pr1 Cd1 Sb1'
_symmetry_space_group_name_H-M 'P 1'
_symmetry_Int_Tables_number 1
_symmetry_space_group_name_Hall 'P 1'
_cell_length_a 5.4554
_cell_length_b 5.4554
_cell_length_c 5.4554
_cell_angle_alpha 60.00
_cell_angle_beta 60.00
_cell_angle_gamma 60.00
loop_
_atom_site_label
_atom_site_type_symbol
_atom_site_fract_x
_atom_site_fract_y
_atom_site_fract_z
Pr1 Pr 0.2500 0.2500 0.2500
Sb1 Sb 0.0000 0.0000 0.0000
Ce1 Ce 0.7500 0.7500 0.7500
Cd1 Cd 0.5000 0.5000 0.5000
```

(11)
Material: CePrScCd
Method: DFT, PBE
State: optimized geometry

Output
- Calculated formation energy: 0.012 eV per atom
- Space-group type: F-43m, No. 216
- VASP energy: -17.91 eV per cell

Structure (CIF):
```
data_CePrScCd
_chemical_formula_sum 'Ce1 Pr1 Sc1 Cd1'
_symmetry_space_group_name_H-M 'P 1'
_symmetry_Int_Tables_number 1
_symmetry_space_group_name_Hall 'P 1'
_cell_length_a 5.4476
_cell_length_b 5.4476
_cell_length_c 5.4476
_cell_angle_alpha 60.00
_cell_angle_beta 60.00
_cell_angle_gamma 60.00
loop_
_atom_site_label
_atom_site_type_symbol
_atom_site_fract_x
_atom_site_fract_y
_atom_site_fract_z
Pr1 Pr 0.7500 0.7500 0.7500
Sc1 Sc 0.0000 0.0000 0.0000
Ce1 Ce 0.2500 0.2500 0.2500
Cd1 Cd 0.5000 0.5000 0.5000
```

(12)
Material: CePrSmCd
Method: DFT, PBE
State: optimized geometry

Output
- Calculated formation energy: 0.049 eV per atom
- Space-group type: F-43m, No. 216
- VASP energy: -16.15 eV per cell

Structure (CIF):
```
data_CePrSmCd
_chemical_formula_sum 'Ce1 Pr1 Sm1 Cd1'
_symmetry_space_group_name_H-M 'P 1'
_symmetry_Int_Tables_number 1
_symmetry_space_group_name_Hall 'P 1'
_cell_length_a 5.4962
_cell_length_b 5.4962
_cell_length_c 5.4962
_cell_angle_alpha 60.00
_cell_angle_beta 60.00
_cell_angle_gamma 60.00
loop_
_atom_site_label
_atom_site_type_symbol
_atom_site_fract_x
_atom_site_fract_y
_atom_site_fract_z
Pr1 Pr 0.0000 0.0000 0.0000
Ce1 Ce 0.2500 0.2500 0.2500
Sm1 Sm 0.5000 0.5000 0.5000
Cd1 Cd 0.7500 0.7500 0.7500
```

- Which of these has the lowest VASP energy?
  CePr6Cd5